Entry 1:
Material: Te4Pd5
Method: DFT, GGA-PBE
State: optimized geometry

Unit cell a=7.070 b=7.070 c=7.070 alpha=94.31 beta=94.31 gamma=148.19
Fractional positions:
Te  0.164  0.164  0.328
Te  0.164  0.836  0.000
Te  0.836  0.164  0.000
Te  0.836  0.836  0.672
Pd  0.166  0.500  0.666
Pd  0.500  0.166  0.666
Pd  0.500  0.500  0.000
Pd  0.500  0.834  0.334
Pd  0.834  0.500  0.334

---

Entry 2:
Material: Te6Pd5
Method: DFT, GGA-PBE
State: optimized geometry

Unit cell a=6.652 b=6.652 c=6.983 alpha=98.72 beta=98.72 gamma=114.91
Fractional positions:
Te  0.024  0.401  0.229
Te  0.215  0.215  0.744
Te  0.401  0.024  0.229
Te  0.599  0.976  0.771
Te  0.785  0.785  0.256
Te  0.976  0.599  0.771
Pd  0.000  0.000  0.000
Pd  0.183  0.817  0.500
Pd  0.364  0.636  0.000
Pd  0.636  0.364  0.000
Pd  0.817  0.183  0.500

---

Entry 3:
Material: Te2Pd5
Method: DFT, GGA-PBE
State: optimized geometry

Unit cell a=7.029 b=7.029 c=6.132 alpha=99.56 beta=99.56 gamma=59.75
Fractional positions:
Te  0.075  0.708  0.985
Te  0.292  0.925  0.515
Te  0.708  0.075  0.485
Te  0.925  0.292  0.015
Pd  0.108  0.669  0.548
Pd  0.241  0.297  0.801
Pd  0.297  0.241  0.301
Pd  0.331  0.892  0.952
Pd  0.449  0.551  0.250
Pd  0.551  0.449  0.750
Pd  0.669  0.108  0.048
Pd  0.703  0.759  0.699
Pd  0.759  0.703  0.199
Pd  0.892  0.331  0.452

---

Entry 4:
Material: Te5Pd7
Method: DFT, GGA-PBE
State: optimized geometry

Unit cell a=7.161 b=7.161 c=10.045 alpha=114.60 beta=114.60 gamma=31.59
Fractional positions:
Te  0.000  0.000  0.000
Te  0.123  0.123  0.436
Te  0.285  0.285  0.227
Te  0.715  0.715  0.773
Te  0.877  0.877  0.564
Pd  0.080  0.080  0.778
Pd  0.321  0.321  0.973
Pd  0.422  0.422  0.774
Pd  0.500  0.500  0.500
Pd  0.578  0.578  0.226
Pd  0.679  0.679  0.027
Pd  0.920  0.920  0.222

---

Entry 5:
Material: Te4Pd
Method: DFT, GGA-PBE
State: optimized geometry

Unit cell a=5.286 b=5.286 c=5.286 alpha=90.00 beta=90.00 gamma=90.00
Fractional positions:
Te  0.000  0.000  0.000
Te  0.000  0.500  0.500
Te  0.500  0.000  0.500
Te  0.500  0.500  0.000
Pd  0.500  0.500  0.500

---

Entry 6:
Material: Te4Pd
Method: DFT, GGA-PBE
State: optimized geometry

Unit cell a=7.266 b=7.266 c=6.854 alpha=99.06 beta=99.06 gamma=110.98
Fractional positions:
Te  0.053  0.464  0.703
Te  0.164  0.286  0.124
Te  0.286  0.164  0.624
Te  0.464  0.053  0.203
Te  0.536  0.947  0.797
Te  0.714  0.836  0.376
Te  0.836  0.714  0.876
Te  0.947  0.536  0.297
Pd  0.074  0.926  0.250
Pd  0.926  0.074  0.750

---

Entry 7:
Material: Te2Pd5
Method: DFT, GGA-PBE
State: optimized geometry

Unit cell a=7.109 b=7.109 c=7.514 alpha=91.20 beta=91.20 gamma=41.41
Fractional positions:
Te  0.056  0.686  0.921
Te  0.314  0.944  0.579
Te  0.686  0.056  0.421
Te  0.944  0.314  0.079
Pd  0.085  0.493  0.314
Pd  0.143  0.857  0.250
Pd  0.293  0.561  0.604
Pd  0.439  0.707  0.896
Pd  0.493  0.085  0.814
Pd  0.507  0.915  0.186
Pd  0.561  0.293  0.104
Pd  0.707  0.439  0.396
Pd  0.857  0.143  0.750
Pd  0.915  0.507  0.686

---

Entry 8:
Material: Te5Pd
Method: DFT, GGA-PBE
State: optimized geometry

Unit cell a=5.242 b=4.160 c=8.139 alpha=90.00 beta=90.25 gamma=90.00
Fractional positions:
Te  0.000  0.000  0.000
Te  0.272  0.500  0.785
Te  0.300  0.000  0.378
Te  0.700  0.000  0.622
Te  0.728  0.500  0.215
Pd  0.000  0.500  0.500

---

Number 1: formation energy from raw total energies 0.01 eV per atom. Number 2: formation energy from raw total energies -0.28 eV per atom. Number 3: formation energy from raw total energies -0.23 eV per atom. Number 4: formation energy from raw total energies -0.26 eV per atom. Number 5: formation energy from raw total energies 0.31 eV per atom. Number 6: formation energy from raw total energies -0.07 eV per atom. Number 7: formation energy from raw total energies -0.27 eV per atom. Number 8: formation energy from raw total energies -0.15 eV per atom.